# 1
VASP calculation (PBE) on a relaxed LaCdRu2 crystal.

a = 2.9556 Å, b = 3.7167 Å, c = 7.4661 Å
α = 90.00°, β = 90.22°, γ = 90.00°
With the nearest neighbours (Å) after each atom.
Space group Pm (No. 6)
One atom of each set of equivalent atoms:
1 La 0.0000 0.0000 0.0000 (multiplicity 1)  2 La 2.96, 5 Ru 3.08-3.15
2 Cd 0.5015 0.5000 0.3415 (multiplicity 1)  5 Ru 2.86-3.00, 2 Cd 2.96
3 Ru 0.0034 0.0000 0.5870 (multiplicity 1)  4 Ru 2.59
4 Ru 0.5039 0.5000 0.7250 (multiplicity 1)  4 Ru 2.59, 1 Cd 2.86

ΔH_f (0 K): 0.094 eV per atom

---

# 2
VASP calculation (PBE) on a relaxed La2CdRu crystal.

a = 5.2490 Å, b = 5.2490 Å, c = 3.7823 Å
α = 90.00°, β = 90.00°, γ = 90.00°
With the nearest neighbours (Å) after each atom.
Space group P4/mmm (No. 123)
One atom of each set of equivalent atoms:
1 La 0.0000 0.5000 0.0000 (multiplicity 2)  4 Ru 3.23, 4 Cd 3.23
2 Cd 0.0000 0.0000 0.5000 (multiplicity 1)  8 La 3.23
3 Ru 0.5000 0.5000 0.5000 (multiplicity 1)  8 La 3.23

ΔH_f (0 K): -0.141 eV per atom

---

# 3
VASP calculation (PBE) on a relaxed La4CdRu crystal.

a = 9.4052 Å, b = 15.1591 Å, c = 6.9369 Å
α = 90.00°, β = 122.40°, γ = 90.00°
With the nearest neighbours (Å) after each atom.
Space group C2/c (No. 15)
One atom of each set of equivalent atoms:
1 La 0.1507 0.2110 0.1475 (multiplicity 8)  1 Ru 2.69
2 La 0.2235 0.0456 0.7185 (multiplicity 8)  2 Ru 2.83-2.98
3 Cd 0.0000 0.3841 0.7500 (multiplicity 4)  8 La 3.30-3.51
4 Ru 0.0000 0.0855 0.2500 (multiplicity 4)  6 La 2.69-2.98

ΔH_f (0 K): -0.177 eV per atom
distance to the lowest polymorph of the same formula: 132 meV per atom

---

# 4
VASP calculation (PBE) on a relaxed La2CdRu2 crystal.

a = 10.5148 Å, b = 5.5427 Å, c = 8.5577 Å
α = 90.00°, β = 108.65°, γ = 90.00°
With the nearest neighbours (Å) after each atom.
Space group C2/c (No. 15)
One atom of each set of equivalent atoms:
1 La 0.1472 0.1468 0.1415 (multiplicity 8)  4 Ru 2.83-3.14
2 Cd 0.0000 0.3707 0.7500 (multiplicity 4)  4 Ru 2.82-2.89
3 Ru 0.1466 0.3331 0.5271 (multiplicity 8)  1 Ru 2.54, 1 Cd 2.82, 1 La 2.83

ΔH_f (0 K): -0.218 eV per atom